Crystalline Ac3Pd7Pt2 at its relaxed geometry. Source: Alexandria, functional PBE.

The value obtained for the formation energy is -0.7351 eV per atom. As for the energy: -208.73 eV per cell.

It has space group R-3m (No. 166, hexagonal axes), with a = 5.5603 Å, b = 5.5603 Å, c = 27.5365 Å, α = 90.00°, β = 90.00° and γ = 120.00°. The inequivalent atoms are Ac at (0.0000, 0.0000, 0.0000), Ac at (0.0000, 0.0000, 0.1378), Pd at (0.0000, 0.0000, 0.5000), Pd at (0.0016, 0.5008, 0.9168) and Pt at (0.0000, 0.0000, 0.3326).


Crystalline Nd3NpPa3N8 at its relaxed geometry. Source: Alexandria, functional PBE.

As for the energy: -429.36 eV per cell. The formation energy without anion corrections comes out at -1.386 eV/atom.

It has space group R-3m (No. 166, hexagonal axes), with a = 7.1107 Å, b = 7.1107 Å, c = 17.2895 Å, α = 90.00°, β = 90.00° and γ = 120.00°. The inequivalent atoms are Nd at (0.0000, 0.5000, 0.0000), Np at (0.0000, 0.0000, 0.5000), Pa at (0.0000, 0.5000, 0.5000), N at (0.0000, 0.0000, 0.2374) and N at (0.0126, 0.5063, 0.2309).


Crystalline LiMgCdGa2 at its relaxed geometry. Source: Alexandria, functional PBE.

The value obtained for the formation energy is 0.3683 eV per atom. As for the energy: -8.64 eV per cell.

It has space group P4/mmm (No. 123), with a = 5.0675 Å, b = 5.0675 Å, c = 5.1502 Å, α = 90.00°, β = 90.00° and γ = 90.00°. The inequivalent atoms are Li at (0.0000, 0.0000, 0.0000), Mg at (0.0000, 0.0000, 0.5000), Cd at (0.5000, 0.5000, 0.0000) and Ga at (0.0000, 0.5000, 0.5000).